1.
# Tl2TeW (PBE, relaxed)
data_Tl2TeW
_chemical_formula_sum 'Tl4 Te2 W2'
_symmetry_space_group_name_H-M 'I m m 2'
_symmetry_Int_Tables_number 44
_cell_length_a 3.239
_cell_length_b 4.796
_cell_length_c 14.040
_cell_angle_alpha 90.00
_cell_angle_beta 90.00
_cell_angle_gamma 90.00
loop_
_symmetry_equiv_pos_as_xyz
'x,y,z'
'-x,-y,z'
'-x,y,z'
'x,-y,z'
'x+1/2,y+1/2,z+1/2'
'-x+1/2,-y+1/2,z+1/2'
'-x+1/2,y+1/2,z+1/2'
'x+1/2,-y+1/2,z+1/2'
loop_
_atom_site_label
_atom_site_fract_x
_atom_site_fract_y
_atom_site_fract_z
Tl1 0.000 0.000 0.000
Tl2 0.000 0.500 0.170
Te1 0.000 0.000 0.353
W1 0.000 0.500 0.702
# * ΔE to the lowest computed polymorph: 168 meV per atom
# * E: -0.3419 Ry per atom
# * DOS(E_F): 6.0 states/eV/cell
# * calculated density: 11.0 g/cm3


2.
# TlTeW2 (PBE, relaxed)
data_TlTeW2
_chemical_formula_sum 'Tl2 Te2 W4'
_symmetry_space_group_name_H-M 'C 1 m 1'
_symmetry_Int_Tables_number 8
_cell_length_a 8.403
_cell_length_b 3.239
_cell_length_c 7.560
_cell_angle_alpha 90.00
_cell_angle_beta 96.78
_cell_angle_gamma 90.00
loop_
_symmetry_equiv_pos_as_xyz
'x,y,z'
'x,-y,z'
'x+1/2,y+1/2,z'
'x+1/2,-y+1/2,z'
loop_
_atom_site_label
_atom_site_fract_x
_atom_site_fract_y
_atom_site_fract_z
Tl1 0.000 0.000 0.000
Te1 0.219 0.000 0.583
W1 0.259 0.500 0.259
W2 0.480 0.000 0.388
# * ΔE to the lowest computed polymorph: 263 meV per atom
# * E: -0.5212 Ry per atom
# * DOS(E_F): 5.4 states/eV/cell
# * calculated density: 11.4 g/cm3


3.
# TlTeW2 (PBE, relaxed)
data_TlTeW2
_chemical_formula_sum 'Tl2 Te2 W4'
_symmetry_space_group_name_H-M 'C 1 2/m 1'
_symmetry_Int_Tables_number 12
_cell_length_a 5.970
_cell_length_b 9.205
_cell_length_c 3.125
_cell_angle_alpha 90.00
_cell_angle_beta 112.59
_cell_angle_gamma 90.00
loop_
_symmetry_equiv_pos_as_xyz
'x,y,z'
'-x,-y,-z'
'-x,y,-z'
'x,-y,z'
'x+1/2,y+1/2,z'
'-x+1/2,-y+1/2,-z'
'-x+1/2,y+1/2,-z'
'x+1/2,-y+1/2,z'
loop_
_atom_site_label
_atom_site_fract_x
_atom_site_fract_y
_atom_site_fract_z
Tl1 0.000 0.000 0.000
Te1 0.000 0.500 0.000
W1 0.250 0.250 0.500
# * ΔE to the lowest computed polymorph: 769 meV per atom
# * E: -0.4840 Ry per atom
# * DOS(E_F): 6.9 states/eV/cell
# * calculated density: 14.7 g/cm3


4.
# TlTeW (PBE, relaxed)
data_TlTeW
_chemical_formula_sum 'Tl1 Te1 W1'
_symmetry_space_group_name_H-M 'P -6 m 2'
_symmetry_Int_Tables_number 187
_symmetry_space_group_name_Hall 'P -6 2'
_cell_length_a 5.0516
_cell_length_b 5.0516
_cell_length_c 2.9882
_cell_angle_alpha 90.00
_cell_angle_beta 90.00
_cell_angle_gamma 120.00
loop_
_atom_site_label
_atom_site_fract_x
_atom_site_fract_y
_atom_site_fract_z
Tl1 0.0000 0.0000 0.0000
Te1 0.6667 0.3333 0.5000
W1 0.3333 0.6667 0.5000
# * ΔE to the lowest computed polymorph: 390 meV per atom
# * E: -0.3832 Ry per atom
# * DOS(E_F): 2.1 states/eV/cell
# * calculated density: 13.0 g/cm3


5.
# Tl2TeW (PBE, relaxed)
data_Tl2TeW
_chemical_formula_sum 'Tl4 Te2 W2'
_symmetry_space_group_name_H-M 'C 1 2/m 1'
_symmetry_Int_Tables_number 12
_cell_length_a 6.527
_cell_length_b 10.519
_cell_length_c 3.070
_cell_angle_alpha 90.00
_cell_angle_beta 113.34
_cell_angle_gamma 90.00
loop_
_symmetry_equiv_pos_as_xyz
'x,y,z'
'-x,-y,-z'
'-x,y,-z'
'x,-y,z'
'x+1/2,y+1/2,z'
'-x+1/2,-y+1/2,-z'
'-x+1/2,y+1/2,-z'
'x+1/2,-y+1/2,z'
loop_
_atom_site_label
_atom_site_fract_x
_atom_site_fract_y
_atom_site_fract_z
Tl1 0.250 0.250 0.000
Te1 0.000 0.000 0.500
W1 0.000 0.500 0.500
# * ΔE to the lowest computed polymorph: 628 meV per atom
# * E: -0.3081 Ry per atom
# * DOS(E_F): 7.4 states/eV/cell
# * calculated density: 12.4 g/cm3


6.
# Tl2TeW (PBE, relaxed)
data_Tl2TeW
_chemical_formula_sum 'Tl8 Te4 W4'
_symmetry_space_group_name_H-M 'F m -3 m'
_symmetry_Int_Tables_number 225
_symmetry_space_group_name_Hall '-F 4 2 3'
_cell_length_a 7.426
_cell_length_b 7.426
_cell_length_c 7.426
_cell_angle_alpha 90.00
_cell_angle_beta 90.00
_cell_angle_gamma 90.00
loop_
_atom_site_label
_atom_site_fract_x
_atom_site_fract_y
_atom_site_fract_z
Tl1 0.250 0.250 0.250
Te1 0.000 0.000 0.000
W1 0.000 0.000 0.500
# * ΔE to the lowest computed polymorph: 891 meV per atom
# * E: -0.2887 Ry per atom
# * DOS(E_F): 18.7 states/eV/cell
# * calculated density: 11.7 g/cm3


7.
# TlTeW2 (PBE, relaxed)
data_TlTeW2
_chemical_formula_sum 'Tl3 Te3 W6'
_symmetry_space_group_name_H-M 'R -3 m'
_symmetry_Int_Tables_number 166
_symmetry_space_group_name_Hall '-R 3 2"'
_cell_length_a 3.1355
_cell_length_b 3.1355
_cell_length_c 27.1923
_cell_angle_alpha 90.00
_cell_angle_beta 90.00
_cell_angle_gamma 120.00
loop_
_atom_site_label
_atom_site_fract_x
_atom_site_fract_y
_atom_site_fract_z
Tl1 0.0000 0.0000 0.0000
Te1 0.0000 0.0000 0.5000
W1 0.0000 0.0000 0.2448
# * ΔE to the lowest computed polymorph: 489 meV per atom
# * E: -0.5046 Ry per atom
# * DOS(E_F): 12.5 states/eV/cell
# * calculated density: 15.1 g/cm3


8.
# TlTeW2 (PBE, relaxed)
data_TlTeW2
_chemical_formula_sum 'Tl1 Te1 W2'
_symmetry_space_group_name_H-M 'P 4/m m m'
_symmetry_Int_Tables_number 123
_symmetry_space_group_name_Hall '-P 4 2'
_cell_length_a 3.307
_cell_length_b 3.307
_cell_length_c 6.994
_cell_angle_alpha 90.00
_cell_angle_beta 90.00
_cell_angle_gamma 90.00
loop_
_atom_site_label
_atom_site_fract_x
_atom_site_fract_y
_atom_site_fract_z
Tl1 0.000 0.000 0.000
Te1 0.000 0.000 0.500
W1 0.500 0.500 0.280
# * ΔE to the lowest computed polymorph: 557 meV per atom
# * E: -0.4996 Ry per atom
# * DOS(E_F): 3.5 states/eV/cell
# * calculated density: 15.2 g/cm3


9.
# TlTeW3 (PBE, relaxed)
data_TlTeW3
_chemical_formula_sum 'Tl1 Te1 W3'
_symmetry_space_group_name_H-M 'P m -3 m'
_symmetry_Int_Tables_number 221
_symmetry_space_group_name_Hall '-P 4 2 3'
_cell_length_a 4.917
_cell_length_b 4.917
_cell_length_c 4.917
_cell_angle_alpha 90.00
_cell_angle_beta 90.00
_cell_angle_gamma 90.00
loop_
_atom_site_label
_atom_site_fract_x
_atom_site_fract_y
_atom_site_fract_z
Tl1 0.000 0.000 0.000
Te1 0.500 0.500 0.500
W1 0.000 0.500 0.500
# * ΔE to the lowest computed polymorph: 0 meV per atom
# * E: -0.4744 Ry per atom
# * DOS(E_F): 4.4 states/eV/cell
# * calculated density: 12.3 g/cm3


10.
# TlTeW (PBE, relaxed)
data_TlTeW
_chemical_formula_sum 'Tl1 Te1 W1'
_symmetry_space_group_name_H-M 'P 3 m 1'
_symmetry_Int_Tables_number 156
_cell_length_a 3.3865
_cell_length_b 3.3865
_cell_length_c 7.1255
_cell_angle_alpha 90.00
_cell_angle_beta 90.00
_cell_angle_gamma 120.00
loop_
_symmetry_equiv_pos_as_xyz
'x,y,z'
'-y,x-y,z'
'-x+y,-x,z'
'-y,-x,z'
'-x+y,y,z'
'x,x-y,z'
loop_
_atom_site_label
_atom_site_fract_x
_atom_site_fract_y
_atom_site_fract_z
Tl1 0.0000 0.0000 0.0000
Te1 0.6667 0.3333 0.5815
W1 0.3333 0.6667 0.3226
# * ΔE to the lowest computed polymorph: 0 meV per atom
# * E: -0.4119 Ry per atom
# * DOS(E_F): 2.9 states/eV/cell
# * calculated density: 12.1 g/cm3


11.
# Tl4TeW (PBE, relaxed)
data_Tl4TeW
_chemical_formula_sum 'Tl16 Te4 W4'
_symmetry_space_group_name_H-M 'F -4 3 m'
_symmetry_Int_Tables_number 216
_symmetry_space_group_name_Hall 'F -4 2 3'
_cell_length_a 8.987
_cell_length_b 8.987
_cell_length_c 8.987
_cell_angle_alpha 90.00
_cell_angle_beta 90.00
_cell_angle_gamma 90.00
loop_
_atom_site_label
_atom_site_fract_x
_atom_site_fract_y
_atom_site_fract_z
Tl1 0.125 0.125 0.125
Te1 0.000 0.000 0.500
W1 0.250 0.250 0.750
# * E: -0.2379 Ry per atom
# * DOS(E_F): 11.6 states/eV/cell
# * calculated density: 10.3 g/cm3


12.
# TlTeW2 (PBE, relaxed)
data_TlTeW2
_chemical_formula_sum 'Tl4 Te4 W8'
_symmetry_space_group_name_H-M 'I -4 2 d'
_symmetry_Int_Tables_number 122
_symmetry_space_group_name_Hall 'I -4 2bw'
_cell_length_a 4.309
_cell_length_b 4.309
_cell_length_c 19.593
_cell_angle_alpha 90.00
_cell_angle_beta 90.00
_cell_angle_gamma 90.00
loop_
_atom_site_label
_atom_site_fract_x
_atom_site_fract_y
_atom_site_fract_z
Tl1 0.000 0.000 0.000
Te1 0.000 0.000 0.500
W1 0.174 0.250 0.625
# * ΔE to the lowest computed polymorph: 684 meV per atom
# * E: -0.4903 Ry per atom
# * DOS(E_F): 11.3 states/eV/cell
# * calculated density: 12.8 g/cm3


13.
# TlTeW4 (PBE, relaxed)
data_TlTeW4
_chemical_formula_sum 'Tl4 Te4 W16'
_symmetry_space_group_name_H-M 'F -4 3 m'
_symmetry_Int_Tables_number 216
_symmetry_space_group_name_Hall 'F -4 2 3'
_cell_length_a 7.741
_cell_length_b 7.741
_cell_length_c 7.741
_cell_angle_alpha 90.00
_cell_angle_beta 90.00
_cell_angle_gamma 90.00
loop_
_atom_site_label
_atom_site_fract_x
_atom_site_fract_y
_atom_site_fract_z
Tl1 0.000 0.000 0.000
Te1 0.250 0.250 0.250
W1 0.126 0.126 0.626
# * E: -0.6352 Ry per atom
# * DOS(E_F): 19.8 states/eV/cell
# * calculated density: 15.3 g/cm3


14.
# Tl2TeW (PBE, relaxed)
data_Tl2TeW
_chemical_formula_sum 'Tl2 Te1 W1'
_symmetry_space_group_name_H-M 'P 4/m m m'
_symmetry_Int_Tables_number 123
_symmetry_space_group_name_Hall '-P 4 2'
_cell_length_a 4.258
_cell_length_b 4.258
_cell_length_c 5.840
_cell_angle_alpha 90.00
_cell_angle_beta 90.00
_cell_angle_gamma 90.00
loop_
_atom_site_label
_atom_site_fract_x
_atom_site_fract_y
_atom_site_fract_z
Tl1 0.000 0.500 0.000
Te1 0.000 0.000 0.500
W1 0.500 0.500 0.500
# * ΔE to the lowest computed polymorph: 640 meV per atom
# * E: -0.3072 Ry per atom
# * DOS(E_F): 2.8 states/eV/cell
# * calculated density: 11.3 g/cm3


15.
# TlTeW (PBE, relaxed)
data_TlTeW
_chemical_formula_sum 'Tl2 Te2 W2'
_symmetry_space_group_name_H-M 'I 4 m m'
_symmetry_Int_Tables_number 107
_symmetry_space_group_name_Hall 'I 4 -2'
_cell_length_a 3.246
_cell_length_b 3.246
_cell_length_c 13.870
_cell_angle_alpha 90.00
_cell_angle_beta 90.00
_cell_angle_gamma 90.00
loop_
_atom_site_label
_atom_site_fract_x
_atom_site_fract_y
_atom_site_fract_z
Tl1 0.000 0.000 0.000
Te1 0.000 0.000 0.732
W1 0.000 0.000 0.344
# * ΔE to the lowest computed polymorph: 46 meV per atom
# * E: -0.4085 Ry per atom
# * DOS(E_F): 4.1 states/eV/cell
# * calculated density: 11.7 g/cm3


16.
# Tl2TeW (PBE, relaxed)
data_Tl2TeW
_chemical_formula_sum 'Tl6 Te3 W3'
_symmetry_space_group_name_H-M 'R 3 m'
_symmetry_Int_Tables_number 160
_symmetry_space_group_name_Hall 'R 3 -2"'
_cell_length_a 3.3583
_cell_length_b 3.3583
_cell_length_c 33.5013
_cell_angle_alpha 90.00
_cell_angle_beta 90.00
_cell_angle_gamma 120.00
loop_
_atom_site_label
_atom_site_fract_x
_atom_site_fract_y
_atom_site_fract_z
Tl1 0.0000 0.0000 0.0000
Tl2 0.0000 0.0000 0.2503
Te1 0.0000 0.0000 0.4593
W1 0.0000 0.0000 0.7371
# * ΔE to the lowest computed polymorph: 0 meV per atom
# * E: -0.3542 Ry per atom
# * DOS(E_F): 7.9 states/eV/cell
# * calculated density: 11.0 g/cm3


17.
# TlTeW3 (PBE, relaxed)
data_TlTeW3
_chemical_formula_sum 'Tl1 Te1 W3'
_symmetry_space_group_name_H-M 'P m -3 m'
_symmetry_Int_Tables_number 221
_symmetry_space_group_name_Hall '-P 4 2 3'
_cell_length_a 5.016
_cell_length_b 5.016
_cell_length_c 5.016
_cell_angle_alpha 90.00
_cell_angle_beta 90.00
_cell_angle_gamma 90.00
loop_
_atom_site_label
_atom_site_fract_x
_atom_site_fract_y
_atom_site_fract_z
Tl1 0.000 0.000 0.000
Te1 0.500 0.500 0.500
W1 0.000 0.000 0.500
# * ΔE to the lowest computed polymorph: 710 meV per atom
# * E: -0.4221 Ry per atom
# * DOS(E_F): 7.2 states/eV/cell
# * calculated density: 11.6 g/cm3


18.
# Tl2TeW (PBE, relaxed)
data_Tl2TeW
_chemical_formula_sum 'Tl2 Te1 W1'
_symmetry_space_group_name_H-M 'P m m m'
_symmetry_Int_Tables_number 47
_cell_length_a 3.322
_cell_length_b 5.050
_cell_length_c 5.728
_cell_angle_alpha 90.00
_cell_angle_beta 90.00
_cell_angle_gamma 90.00
loop_
_symmetry_equiv_pos_as_xyz
'x,y,z'
'-x,-y,-z'
'-x,-y,z'
'x,y,-z'
'x,-y,-z'
'-x,y,z'
'-x,y,-z'
'x,-y,z'
loop_
_atom_site_label
_atom_site_fract_x
_atom_site_fract_y
_atom_site_fract_z
Tl1 0.000 0.000 0.000
Tl2 0.500 0.500 0.000
Te1 0.000 0.500 0.500
W1 0.500 0.000 0.500
# * ΔE to the lowest computed polymorph: 576 meV per atom
# * E: -0.3119 Ry per atom
# * DOS(E_F): 2.5 states/eV/cell
# * calculated density: 12.4 g/cm3


19.
# TlTeW2 (PBE, relaxed)
data_TlTeW2
_chemical_formula_sum 'Tl2 Te2 W4'
_symmetry_space_group_name_H-M 'C 1 2/m 1'
_symmetry_Int_Tables_number 12
_cell_length_a 10.014
_cell_length_b 3.271
_cell_length_c 6.649
_cell_angle_alpha 90.00
_cell_angle_beta 115.27
_cell_angle_gamma 90.00
loop_
_symmetry_equiv_pos_as_xyz
'x,y,z'
'-x,-y,-z'
'-x,y,-z'
'x,-y,z'
'x+1/2,y+1/2,z'
'-x+1/2,-y+1/2,-z'
'-x+1/2,y+1/2,-z'
'x+1/2,-y+1/2,z'
loop_
_atom_site_label
_atom_site_fract_x
_atom_site_fract_y
_atom_site_fract_z
Tl1 0.000 0.000 0.000
Te1 0.000 0.500 0.500
W1 0.240 0.500 0.354
# * ΔE to the lowest computed polymorph: 422 meV per atom
# * E: -0.5095 Ry per atom
# * DOS(E_F): 6.5 states/eV/cell
# * calculated density: 11.8 g/cm3


20.
# YTl2Te (PBE, relaxed)
data_YTl2Te
_chemical_formula_sum 'Y1 Tl2 Te1'
_symmetry_space_group_name_H-M 'P m m m'
_symmetry_Int_Tables_number 47
_cell_length_a 3.925
_cell_length_b 5.145
_cell_length_c 5.806
_cell_angle_alpha 90.00
_cell_angle_beta 90.00
_cell_angle_gamma 90.00
loop_
_symmetry_equiv_pos_as_xyz
'x,y,z'
'-x,-y,-z'
'-x,-y,z'
'x,y,-z'
'x,-y,-z'
'-x,y,z'
'-x,y,-z'
'x,-y,z'
loop_
_atom_site_label
_atom_site_fract_x
_atom_site_fract_y
_atom_site_fract_z
Y1 0.000 0.000 0.000
Tl1 0.000 0.500 0.500
Tl2 0.500 0.000 0.500
Te1 0.500 0.500 0.000
# * ΔE to the lowest computed polymorph: 116 meV per atom
# * E: -0.2945 Ry per atom
# * DOS(E_F): 3.3 states/eV/cell
# * calculated density: 8.9 g/cm3


| no. | raw formation energy (eV/atom) |
| --- | --- |
| 1 | 0.555 |
| 2 | 0.762 |
| 3 | 1.268 |
| 4 | 0.940 |
| 5 | 1.015 |
| 6 | 1.279 |
| 7 | 0.988 |
| 8 | 1.056 |
| 9 | 2.419 |
| 10 | 0.550 |
| 11 | 1.023 |
| 12 | 1.183 |
| 13 | 0.911 |
| 14 | 1.027 |
| 15 | 0.596 |
| 16 | 0.387 |
| 17 | 3.130 |
| 18 | 0.964 |
| 19 | 0.921 |
| 20 | -0.422 |